A relaxed Ca2TaTc crystal. Source: Alexandria via LeMat-Bulk, functional PBE.

Crystal system: cubic
Calculated formation energy (meV per atom): 630.1
Space group: No. 216
Density of states at the Fermi level (states/eV/atom): 1.311

Cell: 4.923 4.923 4.923 Å, 60.00 60.00 60.00°
Fractional positions:
Ca (0.000, 0.000, 0.000)
Ca (0.250, 0.250, 0.250)
Ta (0.750, 0.750, 0.750)
Tc (0.500, 0.500, 0.500)



A relaxed TmMgInGa crystal. Source: Alexandria via LeMat-Bulk, functional PBE.

Crystal system: orthorhombic
Calculated formation energy (meV per atom): -384.6
Space group: No. 47
Density of states at the Fermi level (states/eV/atom): 0.509

Cell: 4.335 4.419 4.557 Å, 90.00 90.00 90.00°
Fractional positions:
Tm (0.000, 0.000, 0.000)
Mg (0.000, 0.500, 0.500)
In (0.500, 0.000, 0.500)
Ga (0.500, 0.500, 0.000)



Please write out number 2 again, unchanged.
A relaxed TmMgInGa crystal. Source: Alexandria via LeMat-Bulk, functional PBE.

Crystal system: orthorhombic
Calculated formation energy (meV per atom): -384.6
Space group: No. 47
Density of states at the Fermi level (states/eV/atom): 0.509

Cell: 4.335 4.419 4.557 Å, 90.00 90.00 90.00°
Fractional positions:
Tm (0.000, 0.000, 0.000)
Mg (0.000, 0.500, 0.500)
In (0.500, 0.000, 0.500)
Ga (0.500, 0.500, 0.000)